Compound: ScBrCl
Source: Alexandria via LeMat-Bulk
Functional: meta-GGA SCAN
Structure: single point on PBEsol structure

Lattice parameters (Å, degrees): 3.5858 3.5858 6.4765 90.00 90.00 120.00
Closest atoms and distances in Å follow each position.
Fractional coordinates of all 3 atoms:
Sc1 0.0000 0.0000 0.0000  3 Cl 2.56, 3 Br 2.68
Br1 0.3333 0.6667 0.7377  3 Sc 2.68
Cl1 0.6667 0.3333 0.2338  3 Sc 2.56

## Properties
- uncorrected formation energy (kJ/mol of formula units) = -542